Computed, not measured: a geometry-optimized CsSrP structure at the PBE-GGA level of DFT.

Cell: 9.2798 5.3036 8.7886 Å, 90.00 90.00 90.00°
Fractional coordinates of all 12 atoms:
1 P 0.1849 0.2500 0.3919
2 Sr 0.8535 0.2500 0.4191
3 P 0.8151 0.7500 0.6081
4 Cs 0.4819 0.2500 0.6593
5 P 0.6849 0.2500 0.1081
6 Sr 0.3535 0.2500 0.0809
7 Sr 0.6465 0.7500 0.9191
8 Cs 0.0181 0.7500 0.1593
9 Sr 0.1465 0.7500 0.5809
10 Cs 0.5181 0.7500 0.3407
11 Cs 0.9819 0.2500 0.8407
12 P 0.3151 0.7500 0.8919

Results
**Size of the total moment**: 0.000 μB per formula unit
**Energy relative to the elements**: -0.680 eV/atom
**Total energy**: -0.24466 Ry/atom